(1)
# Sr2AlHg

A geometry-optimized Sr2AlHg structure (PBE, Alexandria).

Cell: 5.6586 5.6586 3.9558 Å, 90.00 90.00 90.00°
Closest atoms and distances in Å follow each position.
Space group P4/mmm (No. 123)
Inequivalent atoms, fractional coordinates:
Sr  0.0000  0.5000  0.0000 x2  4 Hg 3.45, 4 Al 3.45
Al  0.0000  0.0000  0.5000 x1  8 Sr 3.45
Hg  0.5000  0.5000  0.5000 x1  8 Sr 3.45

Output
- Electronic total energy: -0.1589 Ry per atom
- Energy of formation: -119 kJ/mol of formula units
- Energy relative to the lowest polymorph listed for this composition: 0 meV per atom



(2)
# SrAl2Hg2

A geometry-optimized SrAl2Hg2 structure (PBE, Alexandria).

Cell: 8.2977 8.2977 3.5012 Å, 90.00 90.00 90.00°
Closest atoms and distances in Å follow each position.
Space group P4/mbm (No. 127)
Inequivalent atoms, fractional coordinates:
Sr  0.0000  0.0000  0.0000 x2  4 Al 3.32, 2 Sr 3.50, 8 Hg 3.53
Al  0.1184  0.3816  0.0000 x4  1 Al 2.78, 6 Hg 3.00-3.03
Hg  0.1744  0.6744  0.5000 x4  6 Al 3.00-3.03

Output
- Electronic total energy: -0.1476 Ry per atom
- Energy of formation: -26 kJ/mol of formula units
- Energy relative to the lowest polymorph listed for this composition: 234 meV per atom



(3)
# SrAl2Hg

A geometry-optimized SrAl2Hg structure (PBE, Alexandria).

Cell: 3.5196 4.2798 6.9053 Å, 90.00 104.29 90.00°
Closest atoms and distances in Å follow each position.
Space group Pm (No. 6)
Inequivalent atoms, fractional coordinates:
Sr  0.0000  0.0000  0.0000 x1  1 Al 3.22, 4 Hg 3.28-3.29, 2 Sr 3.52
Al  0.2450  0.0000  0.4815 x1  2 Hg 2.74, 4 Al 2.89-2.92
Al  0.6765  0.5000  0.3517 x1  4 Al 2.89-2.92, 2 Hg 3.10-3.14
Hg  0.3751  0.5000  0.7367 x1  2 Al 2.74

Output
- Electronic total energy: -0.1820 Ry per atom
- Energy of formation: -42 kJ/mol of formula units
- Energy relative to the lowest polymorph listed for this composition: 133 meV per atom



- Among the records above, which one has the highest electronic total energy?
  SrAl2Hg2